# 1
Material: RbCuB2F
Method: DFT, PBE-GGA
State: optimized geometry

Cell: 5.167 3.779 5.167 Å, 90.00 90.00 90.00°
Last column: magnetic moment on the atom in μB.
Fractional positions:
B1 0.000 0.000 0.500  0.19
B2 0.500 0.000 0.000  0.20
Cu1 0.000 0.500 0.000  0.02
Rb1 0.500 0.500 0.500  0.05
F1 0.000 0.000 0.000  0.02

Computed properties:
For the total moment, the calculation gives 1.1 μB per cell. The value obtained for the calculated volume is 20.18 A^3/atom. For the uncorrected formation energy, the calculation gives 1.461 eV per atom.

---

# 2
Material: Hf3SbH
Method: DFT, PBE-GGA
State: optimized geometry

Cell: 6.120 8.018 8.018 Å, 90.40 102.96 102.96°
Fractional positions:
Hf1 0.431 0.256 0.001
Hf2 0.069 0.999 0.744
Hf3 0.569 0.744 0.999
Hf4 0.931 0.001 0.256
Hf5 0.073 0.734 0.016
Hf6 0.427 0.984 0.266
Hf7 0.927 0.266 0.984
Hf8 0.573 0.016 0.734
Hf9 0.321 0.484 0.274
Hf10 0.179 0.726 0.516
Hf11 0.679 0.516 0.726
Hf12 0.821 0.274 0.484
Sb1 0.813 0.512 0.218
Sb2 0.687 0.782 0.488
Sb3 0.187 0.488 0.782
Sb4 0.313 0.218 0.512
H1 0.250 0.995 0.005
H2 0.750 0.005 0.995
H3 0.250 0.731 0.269
H4 0.750 0.269 0.731

Computed properties:
For the total moment, the calculation gives 0.0 μB per cell. The value obtained for the calculated volume is 18.65 A^3/atom. The calculation puts the polymorph energy (0 for the lowest one) at 200.8 meV per atom.

---

# 3
Material: Ag2BiF8
Method: DFT, PBE-GGA
State: optimized geometry

Cell: 4.267 7.072 7.071 Å, 120.01 90.00 90.00°
Fractional positions:
Bi1 0.000 0.000 0.000
Ag1 0.263 0.333 0.667
Ag2 0.737 0.667 0.333
F1 0.239 0.667 0.333
F2 0.761 0.333 0.667
F3 0.744 0.851 0.148
F4 0.256 0.148 0.298
F5 0.256 0.702 0.851
F6 0.256 0.149 0.852
F7 0.744 0.852 0.702
F8 0.744 0.298 0.149

Computed properties:
For the total moment, the calculation gives 0.0 μB per cell. The value obtained for the calculated volume is 16.80 A^3/atom. For the uncorrected formation energy, the calculation gives -1.508 eV per atom. The calculation puts the polymorph energy (0 for the lowest one) at 0.0 meV per atom.

---

# 4
Material: ZnC3
Method: DFT, PBE-GGA
State: optimized geometry

Cell: 4.335 5.717 5.732 Å, 148.76 90.03 112.16°
Fractional positions:
Zn1 0.647 0.626 0.459
C1 0.273 0.380 0.958
C2 0.518 0.869 0.958
C3 0.395 0.624 0.958

Computed properties:
For the total moment, the calculation gives 0.0 μB per cell. The value obtained for the calculated volume is 12.62 A^3/atom. The calculation puts the polymorph energy (0 for the lowest one) at 634.6 meV per atom. The energy of formation from the pure elements comes out at 1086.9 meV per atom.

---

# 5
Material: Nd4Y7Ho
Method: DFT, PBE-GGA
State: optimized geometry

Cell: 5.469 13.362 6.389 Å, 94.69 64.66 78.19°
Fractional positions:
Nd1 0.741 0.221 0.297
Nd2 0.259 0.779 0.703
Nd3 0.586 0.737 0.091
Nd4 0.414 0.263 0.909
Y1 0.833 0.897 0.437
Y2 0.167 0.103 0.563
Y3 0.960 0.628 0.452
Y4 0.040 0.372 0.548
Y5 0.329 0.532 0.811
Y6 0.500 0.000 0.000
Y7 0.671 0.468 0.189
Ho1 0.000 0.000 0.000

Computed properties:
For the total moment, the calculation gives 0.0 μB per cell. The value obtained for the calculated volume is 33.78 A^3/atom. The calculation puts the polymorph energy (0 for the lowest one) at 0.0 meV per atom. The energy of formation from the pure elements comes out at 224.6 meV per atom.

---

# 6
Material: CaLaSc
Method: DFT, PBE-GGA
State: optimized geometry

Cell: 7.928 7.928 7.928 Å, 153.11 153.11 38.40°
Fractional positions:
Sc1 0.673 0.673 0.000
Ca1 0.009 0.009 0.000
La1 0.317 0.317 0.000

Computed properties:
For the total moment, the calculation gives 0.0 μB per cell. The value obtained for the calculated volume is 33.93 A^3/atom. The calculation puts the polymorph energy (0 for the lowest one) at 0.0 meV per atom. The energy of formation from the pure elements comes out at 112.5 meV per atom.

---

# 7
Material: Hf2ThHg
Method: DFT, PBE-GGA
State: optimized geometry

Cell: 4.401 4.669 4.669 Å, 90.00 90.00 90.00°
Fractional positions:
Hf1 0.000 0.000 0.500
Hf2 0.000 0.500 0.000
Hg1 0.500 0.500 0.500
Th1 0.500 0.000 0.000

Computed properties:
For the total moment, the calculation gives 0.0 μB per cell. The value obtained for the calculated volume is 23.99 A^3/atom. The calculation puts the polymorph energy (0 for the lowest one) at 4.5 meV per atom. The energy of formation from the pure elements comes out at 47.3 meV per atom.

---

# 8
Material: YBeVOs2
Method: DFT, PBE-GGA
State: optimized geometry

Cell: 4.834 4.567 4.834 Å, 90.00 90.00 90.00°
Last column: magnetic moment on the atom in μB.
Fractional positions:
Y1 0.000 0.000 0.000  0.00
Be1 0.500 0.500 0.500  -0.01
Os1 0.000 0.000 0.500  0.29
Os2 0.500 0.000 0.000  0.26
V1 0.000 0.500 0.000  0.16

Computed properties:
For the total moment, the calculation gives 0.7 μB per cell. The value obtained for the calculated volume is 21.34 A^3/atom. The energy of formation from the pure elements comes out at 2856.5 meV per atom.